1.
Material: NaCeHo2Hg4
Method: DFT, PBE
State: optimized geometry

Summary:
- Formation enthalpy at 0 K: -0.3544 eV/atom
- SG: R-3m (166)
- Total magnetic moment: 0.96 μB per cell
- Total DFT energy (no corrections): -20.45 eV for the cell shown

abc: 9.272 9.272 9.272
angles: 32.71 32.71 32.71
Positions (direct):
Na1 0.000 0.000 0.000
Ce1 0.500 0.500 0.500
Ho1 0.254 0.254 0.254
Ho2 0.746 0.746 0.746
Hg1 0.121 0.121 0.121
Hg2 0.375 0.375 0.375
Hg3 0.625 0.625 0.625
Hg4 0.879 0.879 0.879

=====

2.
Material: TcIr6W5
Method: DFT, PBE
State: optimized geometry

Summary:
- Formation enthalpy at 0 K: -0.2803 eV/atom
- SG: Immm (71)
- Total magnetic moment: 0.00 μB per cell
- Total DFT energy (no corrections): -131.66 eV for the cell shown

abc: 7.329 7.329 7.329
angles: 149.00 115.16 73.60
Positions (direct):
Tc1 0.000 0.000 0.000
Ir1 0.083 0.834 0.250
Ir2 0.250 0.500 0.750
Ir3 0.416 0.166 0.250
Ir4 0.584 0.834 0.750
Ir5 0.750 0.500 0.250
Ir6 0.917 0.166 0.750
W1 0.164 0.664 0.500
W2 0.333 0.333 0.000
W3 0.500 0.000 0.500
W4 0.667 0.667 0.000
W5 0.836 0.336 0.500

=====

3.
Material: Ac2In2AgPd5
Method: DFT, PBE
State: optimized geometry

Summary:
- Formation enthalpy at 0 K: -0.4289 eV/atom
- SG: P4/mbm (127)
- Total magnetic moment: 0.00 μB per cell
- Total DFT energy (no corrections): -93.60 eV for the cell shown

abc: 10.941 10.941 3.686
angles: 90.00 90.00 90.00
Positions (direct):
Ac1 0.174 0.326 0.000
Ac2 0.326 0.826 0.000
Ac3 0.674 0.174 0.000
Ac4 0.826 0.674 0.000
In1 0.127 0.627 0.000
In2 0.373 0.127 0.000
In3 0.627 0.873 0.000
In4 0.873 0.373 0.000
Ag1 0.000 0.000 0.000
Ag2 0.500 0.500 0.000
Pd1 0.000 0.500 0.500
Pd2 0.052 0.806 0.500
Pd3 0.194 0.052 0.500
Pd4 0.306 0.552 0.500
Pd5 0.448 0.306 0.500
Pd6 0.500 0.000 0.500
Pd7 0.552 0.694 0.500
Pd8 0.694 0.448 0.500
Pd9 0.806 0.948 0.500
Pd10 0.948 0.194 0.500

=====

4.
Material: Y2HoZn2In2
Method: DFT, PBE
State: optimized geometry

Summary:
- Formation enthalpy at 0 K: -0.2876 eV/atom
- SG: R-3m (166)
- Total magnetic moment: 0.00 μB per cell
- Total DFT energy (no corrections): -27.54 eV for the cell shown

abc: 9.506 9.506 9.506
angles: 28.58 28.58 28.58
Positions (direct):
Y1 0.127 0.127 0.127
Y2 0.873 0.873 0.873
Ho1 0.000 0.000 0.000
Zn1 0.393 0.393 0.393
Zn2 0.607 0.607 0.607
In1 0.264 0.264 0.264
In2 0.736 0.736 0.736